[1]
This record from Alexandria describes crystalline HfTl3Ru at its relaxed geometry. The functional is PBE-GGA.

abc: 5.5441 5.5441 5.5441
angles: 90.00 90.00 90.00
With the nearest neighbours (Å) after each atom.
Atoms (fractional coordinates):
Ru 0.5000 0.5000 0.5000  12 Tl 3.92
Tl 0.0000 0.5000 0.0000  2 Hf 2.77
Tl 0.0000 0.0000 0.5000  2 Hf 2.77
Tl 0.5000 0.0000 0.0000  2 Hf 2.77
Hf 0.0000 0.0000 0.0000  6 Tl 2.77

Output
ΔH_f (0 K) = 1.464 eV per atom
calculated density = 8.7 g/cm3
energy above the most stable polymorph in this dataset = 570.4 meV/atom



[2]
This record from Alexandria describes crystalline TmAg2AsS4 at its relaxed geometry. The functional is PBE-GGA.

abc: 3.8619 6.6984 6.7026
angles: 69.36 90.00 90.00
With the nearest neighbours (Å) after each atom.
Atoms (fractional coordinates):
Tm 0.0000 0.5000 0.5000  6 S 2.69-2.72
Ag 0.0000 0.0000 0.0000  6 S 2.75-2.80
Ag 0.5000 0.0000 0.5000  6 S 2.78-2.90
As 0.5000 0.5000 0.0000  6 S 2.61-2.65
S 0.0000 0.7334 0.7592  2 As 2.65, 1 Tm 2.72, 3 Ag 2.78-2.80
S 0.0000 0.2666 0.2408  2 As 2.65, 1 Tm 2.72, 3 Ag 2.78-2.80
S 0.5000 0.7314 0.2420  1 As 2.61, 2 Tm 2.69, 3 Ag 2.75-2.90
S 0.5000 0.2686 0.7580  1 As 2.61, 2 Tm 2.69, 3 Ag 2.75-2.90

Output
uncorrected formation energy = -5.1 eV per formula unit
calculated density = 6.0 g/cm3